KLaTiSnO6, relaxed, DFT GGA-PBE; Fermi-level density of states = 0.000 states/eV/atom; uncorrected formation energy = -2.50 eV/atom; total moment = 0.0 μB/f.u.
1.0
-2.8501 4.0725 2.7486
0.8923 5.4585 -1.2933
-4.0172 2.9722 -2.7003
O La Ti K Sn
6 1 1 1 1
direct
0.2560 0.7440 0.7440
0.7440 0.2560 0.2560
0.2560 0.2560 0.7440
0.7440 0.2560 0.7440
0.7440 0.7440 0.2560
0.2560 0.7440 0.2560
0.2500 0.2500 0.2500
0.5000 0.5000 0.5000
0.7500 0.7500 0.7500
0.0000 0.0000 0.0000